(1)
Computed, not measured: V4FeOs after structural relaxation at the PBE level of DFT.

## Properties
E_form   0.326 eV/atom
E   -54.21 eV/f.u.
Magnetic moment   0.00 μB/f.u.
E above lowest polymorph   0.560 eV per atom
DOS(E_F)   7.3 states/eV per cell
Space-group type   C2/m, No. 12
V   15.34 Å³/atom

a = 4.003 Å, b = 4.004 Å, c = 5.744 Å
α = 89.88°, β = 89.94°, γ = 90.00°
Sites, in units of the cell vectors:
V 0.002 0.498 0.735
V 0.001 0.497 0.262
V 0.501 0.997 0.262
V 0.501 0.998 0.735
Fe 0.001 0.997 0.498
Os 0.501 0.497 0.998

(2)
Computed, not measured: V2Fe4Os after structural relaxation at the PBE level of DFT.

## Properties
E_form   1.194 eV/atom
E   -54.96 eV/f.u.
Magnetic moment   4.02 μB/f.u.
DOS(E_F)   9.2 states/eV per cell
Space-group type   I4/mmm, No. 139
V   16.61 Å³/atom

a = 4.367 Å, b = 4.367 Å, c = 6.834 Å
α = 71.37°, β = 71.37°, γ = 90.00°
Last column: magnetic moment on the atom in μB.
Sites, in units of the cell vectors:
Fe 0.205 0.205 0.591  2.74
Fe 0.795 0.795 0.409  2.74
Fe 0.500 0.000 0.000  0.98
Os 0.000 0.000 0.000  0.11
Fe 0.000 0.500 0.000  0.98
V 0.612 0.612 0.776  -1.58
V 0.388 0.388 0.224  -1.58